(1)
SrReAu2 | GGA-PBE | optimized geometry

The structure in POSCAR format:
```
SrReAu2
1.0
1.5071 0.8701 9.9900
-1.5071 0.8701 9.9900
0.0000 -1.7403 9.9900
Sr Re Au
1 1 2
Direct
0.0000 0.0000 0.0000
0.5000 0.5000 0.5000
0.2413 0.2413 0.2413
0.7587 0.7587 0.7587
```

Calculated values
* space group: R-3m
* total magnetization: 0.01 μB per formula unit
* excess energy over the best structure of this formula in the dataset: 0.330 eV per atom
* formation energy from the elements: 0.67 eV per atom

(2)
Sr2ReAu | GGA-PBE | optimized geometry

The structure in POSCAR format:
```
Sr2ReAu
1.0
4.6321 0.0000 0.0000
0.0000 2.3664 5.5081
0.0000 -2.3664 5.5081
Sr Re Au
2 1 1
Direct
0.0000 0.0000 0.0000
0.5000 0.2943 0.2943
0.5000 0.6009 0.6009
0.0000 0.6976 0.6976
```

Calculated values
* space group: Amm2
* total magnetization: 1.26 μB per formula unit
* excess energy over the best structure of this formula in the dataset: 0.046 eV per atom
* formation energy from the elements: 0.36 eV per atom

(3)
SrReAu2 | GGA-PBE | optimized geometry

The structure in POSCAR format:
```
SrReAu2
1.0
-2.6630 2.6630 8.1884
2.6630 -2.6630 8.1884
2.6630 2.6630 -8.1884
Sr Re Au
2 2 4
Direct
0.0000 0.0000 0.0000
0.7500 0.2500 0.5000
0.2500 0.7500 0.5000
0.5000 0.5000 0.0000
0.2484 0.6250 0.1234
0.3750 0.4984 0.6234
0.5016 0.1250 0.8766
0.8750 0.7516 0.3766
```

Calculated values
* space group: I-42d
* total magnetization: 0.00 μB per formula unit
* excess energy over the best structure of this formula in the dataset: 0.254 eV per atom
* formation energy from the elements: 0.60 eV per atom

(4)
SrReAu2 | GGA-PBE | optimized geometry

The structure in POSCAR format:
```
SrReAu2
1.0
3.4635 -3.7686 0.0000
3.4635 3.7686 0.0000
0.0000 0.0000 3.0587
Sr Re Au
1 1 2
Direct
0.0000 0.0000 0.0000
0.5000 0.5000 0.0000
0.0000 0.5000 0.5000
0.5000 0.0000 0.5000
```

Calculated values
* space group: Cmmm
* total magnetization: 0.54 μB per formula unit
* excess energy over the best structure of this formula in the dataset: 0.035 eV per atom
* formation energy from the elements: 0.38 eV per atom

no.,calculated total energy (eV/atom)
1,-4.499
2,-4.411
3,-4.575
4,-4.795